(1)
TaTi2HgRu: relaxed, GGA-PBEsol.

Unit cell a=4.714 b=4.714 c=4.841 alpha=90.00 beta=90.00 gamma=90.00
Space group P4/mmm (No. 123)
Inequivalent atoms, fractional coordinates:
1 Ta 0.000 0.000 0.000 x1
2 Ti 0.000 0.500 0.500 x2
3 Hg 0.500 0.500 0.500 x1
4 Ru 0.500 0.500 0.000 x1

Summary:
uncorrected energy: -30.86 eV/f.u.
total moment: 0.00 μB/atom
ΔE_f: 1.814 eV/atom

***

(2)
TcHgRu2: relaxed, GGA-PBEsol.

Unit cell a=9.053 b=2.777 c=4.855 alpha=90.00 beta=100.41 gamma=90.00
Space group C2/m (No. 12)
Inequivalent atoms, fractional coordinates:
1 Tc 0.000 0.000 0.000 x2
2 Hg 0.000 0.500 0.500 x2
3 Ru 0.239 0.500 0.218 x4

Summary:
uncorrected energy: -30.50 eV/f.u.
total moment: 0.00 μB/atom
ΔE_f: 0.418 eV/atom

***

(3)
TcHgRu: relaxed, GGA-PBEsol.

Unit cell a=6.024 b=6.024 c=6.024 alpha=90.00 beta=90.00 gamma=90.00
Space group F-43m (No. 216)
Inequivalent atoms, fractional coordinates:
1 Tc 0.000 0.000 0.000 x4
2 Hg 0.250 0.250 0.250 x4
3 Ru 0.250 0.250 0.750 x4

Summary:
uncorrected energy: -19.07 eV/f.u.
total moment: 0.00 μB/atom
ΔE_f: 0.978 eV/atom

***

(4)
TcHg3Ru: relaxed, GGA-PBEsol.

Unit cell a=5.047 b=5.047 c=5.047 alpha=90.00 beta=90.00 gamma=90.00
Space group Pm-3m (No. 221)
Inequivalent atoms, fractional coordinates:
1 Tc 0.000 0.000 0.000 x1
2 Hg 0.000 0.500 0.500 x3
3 Ru 0.500 0.500 0.500 x1

Summary:
uncorrected energy: -15.34 eV/f.u.
total moment: 1.04 μB/atom
ΔE_f: 1.560 eV/atom
energy above the most stable polymorph in this dataset: 0.000 eV per atom

***

(5)
HgTe2Ru: relaxed, GGA-PBEsol.

Unit cell a=4.334 b=4.334 c=8.982 alpha=90.00 beta=90.00 gamma=90.00
Space group I-4m2 (No. 119)
Inequivalent atoms, fractional coordinates:
1 Hg 0.000 0.000 0.000 x2
2 Te 0.000 0.000 0.500 x2
3 Te 0.000 0.500 0.750 x2
4 Ru 0.000 0.500 0.250 x2

Summary:
uncorrected energy: -15.22 eV/f.u.
total moment: 0.00 μB/atom
formation energy (no corrections): 0.643 eV per atom

***

(6)
Ti3HgRu: relaxed, GGA-PBEsol.

Unit cell a=4.802 b=4.802 c=4.802 alpha=90.00 beta=90.00 gamma=90.00
Space group Pm-3m (No. 221)
Inequivalent atoms, fractional coordinates:
1 Ti 0.000 0.000 0.500 x3
2 Hg 0.000 0.000 0.000 x1
3 Ru 0.500 0.500 0.500 x1

Summary:
uncorrected energy: -27.62 eV/f.u.
total moment: 0.03 μB/atom
ΔE_f: 1.617 eV/atom